The following is a DFT calculation (PBE with a Hubbard U) of NaVNiF2 after structural relaxation.

Calculated values
* magnetization: 3.24 μB per cell
* VASP energy: -3.377 eV/atom

The structure in CIF format:
```
data_NaVNiF2
_cell_length_a 4.118
_cell_length_b 4.118
_cell_length_c 5.065
_cell_angle_alpha 90.00
_cell_angle_beta 90.00
_cell_angle_gamma 90.00
_space_group_name_H-M_alt 'P 4/m m m'
_space_group_IT_number 123
_space_group_name_Hall '-P 4 2'
loop_
_atom_site_label
_atom_site_type_symbol
_atom_site_fract_x
_atom_site_fract_y
_atom_site_fract_z
Na1 Na 0.000 0.000 0.000
V1 V 0.500 0.500 0.000
Ni1 Ni 0.000 0.000 0.500
F1 F 0.000 0.500 0.500
```